A plane-wave DFT calculation with GGA-PBE was carried out for an optimized crystal structure of PrSiO4.

Properties
- energy relative to the elements, uncorrected (kJ/mol of formula units) = -1583

Unit cell a=6.9115 b=6.9115 c=6.9115 alpha=136.80 beta=136.80 gamma=62.74
Fractional coordinates of all 12 atoms:
1 Pr 0.3750 0.1250 0.2500
2 Pr 0.6250 0.8750 0.7500
3 Si 0.1250 0.3750 0.7500
4 Si 0.8750 0.6250 0.2500
5 O 0.0790 0.6972 0.8785
6 O 0.1972 0.8186 0.6181
7 O 0.2995 0.4210 0.1181
8 O 0.3186 0.2005 0.6215
9 O 0.6814 0.7995 0.3785
10 O 0.7005 0.5790 0.8819
11 O 0.8028 0.1814 0.3819
12 O 0.9210 0.3028 0.1215